First-principles (PBE) data for an optimized crystal structure of CaBi2PdW, as listed in Alexandria via LeMat-Bulk.

Summary:
**Fermi-level density of states**: 0.672 states/eV/atom
**Crystal system**: tetragonal
**Energy relative to the elements**: 0.415 eV/atom
**Volume**: 29.34 A^3/atom
**E_tot**: -25.8 eV per cell

Lattice parameters (Å, degrees): 5.351 5.351 5.124 90.00 90.00 90.00
Space group P4/mmm (No. 123)
Asymmetric unit:
Ca 0.000 0.000 0.000 [1 per cell]
Bi 0.000 0.500 0.500 [2 per cell]
Pd 0.500 0.500 0.000 [1 per cell]
W 0.500 0.500 0.500 [1 per cell]